# 1
Compound: Na3Zn2Sb3
Source: the Alexandria database
Functional: PBE
Structure: optimized geometry

Properties
Its crystal system is orthorhombic. The calculation puts the uncorrected formation energy at -0.295 eV/atom. As for the total DFT energy (no corrections): -2.65 eV per atom.

Geometry as CIF:
```
data_Na3Zn2Sb3
_cell_length_a 4.7585
_cell_length_b 11.2905
_cell_length_c 15.5607
_cell_angle_alpha 90.00
_cell_angle_beta 90.00
_cell_angle_gamma 90.00
_space_group_name_H-M_alt 'C m c m'
_space_group_IT_number 63
_space_group_name_Hall '-C 2c 2'
loop_
_atom_site_label
_atom_site_type_symbol
_atom_site_fract_x
_atom_site_fract_y
_atom_site_fract_z
Na1 Na 0.0000 0.0754 0.1242
Na2 Na 0.0000 0.3653 0.2500
Zn1 Zn 0.0000 0.2178 0.5999
Sb1 Sb 0.0000 0.3332 0.7500
Sb2 Sb 0.0000 0.3797 0.0344
```

=====

# 2
Compound: Ti5SnRh6
Source: the Alexandria database
Functional: PBE
Structure: optimized geometry

Properties
Its crystal system is orthorhombic. As for the energy relative to the elements: -0.730 eV per atom. As for the total DFT energy (no corrections): -8.03 eV per atom.

Geometry as CIF:
```
data_Ti5SnRh6
_cell_length_a 4.1816
_cell_length_b 7.0436
_cell_length_c 12.4866
_cell_angle_alpha 90.00
_cell_angle_beta 90.00
_cell_angle_gamma 90.00
_space_group_name_H-M_alt 'I m m m'
_space_group_IT_number 71
_space_group_name_Hall '-I 2 2'
loop_
_atom_site_label
_atom_site_type_symbol
_atom_site_fract_x
_atom_site_fract_y
_atom_site_fract_z
Ti1 Ti 0.0000 0.0000 0.0000
Ti2 Ti 0.0000 0.0000 0.3307
Ti3 Ti 0.0000 0.5000 0.3347
Sn1 Sn 0.0000 0.5000 0.0000
Rh1 Rh 0.0000 0.2459 0.1700
Rh2 Rh 0.0000 0.2608 0.5000
```

=====

# 3
Compound: V2NiPt2
Source: the Alexandria database
Functional: PBE
Structure: optimized geometry

Properties
Its crystal system is orthorhombic. As for the energy relative to the lowest polymorph listed for this composition: 0 meV/atom. As for the energy relative to the elements: -0.342 eV per atom. As for the total DFT energy (no corrections): -7.56 eV per atom.

Geometry as CIF:
```
data_V2NiPt2
_cell_length_a 4.4208
_cell_length_b 13.8954
_cell_length_c 4.6120
_cell_angle_alpha 90.00
_cell_angle_beta 90.00
_cell_angle_gamma 90.00
_space_group_name_H-M_alt 'C m c 21'
_space_group_IT_number 36
_space_group_name_Hall 'C 2c -2'
loop_
_atom_site_label
_atom_site_type_symbol
_atom_site_fract_x
_atom_site_fract_y
_atom_site_fract_z
V1 V 0.0000 0.1379 0.0000
V2 V 0.0000 0.3586 0.0677
Ni1 Ni 0.0000 0.4543 0.6043
Pt1 Pt 0.0000 0.0548 0.4847
Pt2 Pt 0.0000 0.2661 0.5771
```

=====

# 4
Compound: Th3AlOs
Source: the Alexandria database
Functional: PBE
Structure: optimized geometry

Properties
Its crystal system is monoclinic. As for the energy relative to the elements: -0.157 eV per atom. As for the total DFT energy (no corrections): -7.60 eV per atom.

Geometry as CIF:
```
data_Th3AlOs
_cell_length_a 9.2363
_cell_length_b 7.0224
_cell_length_c 9.8745
_cell_angle_alpha 90.00
_cell_angle_beta 114.98
_cell_angle_gamma 90.00
_space_group_name_H-M_alt 'P 1 21/c 1'
_space_group_IT_number 14
_space_group_name_Hall '-P 2ybc'
loop_
_atom_site_label
_atom_site_type_symbol
_atom_site_fract_x
_atom_site_fract_y
_atom_site_fract_z
Th1 Th 0.1069 0.0667 0.3650
Th2 Th 0.2191 0.5676 0.5612
Th3 Th 0.3840 0.0483 0.7569
Al1 Al 0.4511 0.6759 0.9595
Os1 Os 0.0823 0.2384 0.6127
```

=====

# 5
Compound: CaCu2
Source: the Alexandria database
Functional: PBE
Structure: optimized geometry

Properties
Its crystal system is tetragonal. As for the energy relative to the elements: 0.068 eV per atom. As for the total DFT energy (no corrections): -3.33 eV per atom.

Geometry as CIF:
```
data_CaCu2
_cell_length_a 3.5030
_cell_length_b 3.5030
_cell_length_c 4.9154
_cell_angle_alpha 90.00
_cell_angle_beta 90.00
_cell_angle_gamma 90.00
_space_group_name_H-M_alt 'P 4/m m m'
_space_group_IT_number 123
_space_group_name_Hall '-P 4 2'
loop_
_atom_site_label
_atom_site_type_symbol
_atom_site_fract_x
_atom_site_fract_y
_atom_site_fract_z
Ca1 Ca 0.0000 0.0000 0.0000
Cu1 Cu 0.0000 0.5000 0.5000
```

=====

# 6
Compound: YNbAuN2
Source: the Alexandria database
Functional: PBE
Structure: optimized geometry

Properties
Its crystal system is tetragonal. The calculation puts the uncorrected formation energy at 0.413 eV/atom. As for the total DFT energy (no corrections): -6.88 eV per atom.

Geometry as CIF:
```
data_YNbAuN2
_cell_length_a 4.0760
_cell_length_b 4.0760
_cell_length_c 6.2873
_cell_angle_alpha 90.00
_cell_angle_beta 90.00
_cell_angle_gamma 90.00
_space_group_name_H-M_alt 'P 4/m m m'
_space_group_IT_number 123
_space_group_name_Hall '-P 4 2'
loop_
_atom_site_label
_atom_site_type_symbol
_atom_site_fract_x
_atom_site_fract_y
_atom_site_fract_z
Y1 Y 0.0000 0.0000 0.0000
Nb1 Nb 0.0000 0.0000 0.5000
Au1 Au 0.5000 0.5000 0.0000
N1 N 0.0000 0.5000 0.5000
```

=====

# 7
Compound: Ca2ZrSiNi
Source: the Alexandria database
Functional: PBE
Structure: optimized geometry

Properties
Its crystal system is tetragonal. The calculation puts the uncorrected formation energy at 0.250 eV/atom. As for the total DFT energy (no corrections): -4.50 eV per atom.

Geometry as CIF:
```
data_Ca2ZrSiNi
_cell_length_a 5.2931
_cell_length_b 5.2931
_cell_length_c 4.3997
_cell_angle_alpha 90.00
_cell_angle_beta 90.00
_cell_angle_gamma 90.00
_space_group_name_H-M_alt 'P 4/m m m'
_space_group_IT_number 123
_space_group_name_Hall '-P 4 2'
loop_
_atom_site_label
_atom_site_type_symbol
_atom_site_fract_x
_atom_site_fract_y
_atom_site_fract_z
Ca1 Ca 0.0000 0.5000 0.0000
Zr1 Zr 0.0000 0.0000 0.5000
Si1 Si 0.5000 0.5000 0.5000
Ni1 Ni 0.5000 0.5000 0.0000
```

=====

# 8
Compound: InNiAu
Source: the Alexandria database
Functional: PBE
Structure: optimized geometry

Properties
Its crystal system is trigonal. As for the energy relative to the elements: 0.029 eV per atom. As for the total DFT energy (no corrections): -3.90 eV per atom.

Geometry as CIF:
```
data_InNiAu
_cell_length_a 4.4051
_cell_length_b 4.4051
_cell_length_c 3.0393
_cell_angle_alpha 90.00
_cell_angle_beta 90.00
_cell_angle_gamma 120.00
_space_group_name_H-M_alt 'P 3 m 1'
_space_group_IT_number 156
_space_group_name_Hall 'P 3 -2"'
loop_
_atom_site_label
_atom_site_type_symbol
_atom_site_fract_x
_atom_site_fract_y
_atom_site_fract_z
In1 In 0.0000 0.0000 0.0000
Ni1 Ni 0.3333 0.6667 0.2589
Au1 Au 0.6667 0.3333 0.6002
```

=====

# 9
Compound: BaZr2Se
Source: the Alexandria database
Functional: PBE
Structure: optimized geometry

Properties
Its crystal system is tetragonal. The calculation puts the uncorrected formation energy at -0.137 eV/atom. As for the total DFT energy (no corrections): -5.76 eV per atom.

Geometry as CIF:
```
data_BaZr2Se
_cell_length_a 3.5014
_cell_length_b 3.5014
_cell_length_c 8.8173
_cell_angle_alpha 90.00
_cell_angle_beta 90.00
_cell_angle_gamma 90.00
_space_group_name_H-M_alt 'P 4/m m m'
_space_group_IT_number 123
_space_group_name_Hall '-P 4 2'
loop_
_atom_site_label
_atom_site_type_symbol
_atom_site_fract_x
_atom_site_fract_y
_atom_site_fract_z
Ba1 Ba 0.0000 0.0000 0.0000
Zr1 Zr 0.5000 0.5000 0.3296
Se1 Se 0.0000 0.0000 0.5000
```

=====

# 10
Compound: Dy2OsPt
Source: the Alexandria database
Functional: PBE
Structure: optimized geometry

Properties
Its crystal system is tetragonal. As for the energy relative to the elements: -0.707 eV per atom. As for the total DFT energy (no corrections): -7.33 eV per atom.

Geometry as CIF:
```
data_Dy2OsPt
_cell_length_a 3.4662
_cell_length_b 3.4662
_cell_length_c 6.8035
_cell_angle_alpha 90.00
_cell_angle_beta 90.00
_cell_angle_gamma 90.00
_space_group_name_H-M_alt 'P 4/m m m'
_space_group_IT_number 123
_space_group_name_Hall '-P 4 2'
loop_
_atom_site_label
_atom_site_type_symbol
_atom_site_fract_x
_atom_site_fract_y
_atom_site_fract_z
Dy1 Dy 0.0000 0.0000 0.2441
Os1 Os 0.5000 0.5000 0.0000
Pt1 Pt 0.5000 0.5000 0.5000
```

=====

# 11
Compound: Al4Zn3Ag5
Source: the Alexandria database
Functional: PBE
Structure: optimized geometry

Properties
Its crystal system is monoclinic. As for the energy relative to the elements: 0.120 eV per atom. As for the total DFT energy (no corrections): -2.63 eV per atom.

Geometry as CIF:
```
data_Al4Zn3Ag5
_cell_length_a 13.0359
_cell_length_b 4.7501
_cell_length_c 9.4222
_cell_angle_alpha 90.00
_cell_angle_beta 130.67
_cell_angle_gamma 90.00
_space_group_name_H-M_alt 'C 1 2/m 1'
_space_group_IT_number 12
_space_group_name_Hall '-C 2y'
loop_
_atom_site_label
_atom_site_type_symbol
_atom_site_fract_x
_atom_site_fract_y
_atom_site_fract_z
Al1 Al 0.0538 0.0000 0.3297
Al2 Al 0.2100 0.0000 0.8292
Zn1 Zn 0.0000 0.5000 0.0000
Zn2 Zn 0.1554 0.5000 0.5983
Ag1 Ag 0.0000 0.0000 0.0000
Ag2 Ag 0.0844 0.5000 0.8004
Ag3 Ag 0.2003 0.5000 0.3579
```

=====

# 12
Compound: Li2GaGe
Source: the Alexandria database
Functional: PBE
Structure: optimized geometry

Properties
Its crystal system is tetragonal. As for the energy relative to the lowest polymorph listed for this composition: 279 meV/atom. As for the energy relative to the elements: -0.012 eV per atom. As for the total DFT energy (no corrections): -2.88 eV per atom.

Geometry as CIF:
```
data_Li2GaGe
_cell_length_a 7.3104
_cell_length_b 7.3104
_cell_length_c 5.3959
_cell_angle_alpha 90.00
_cell_angle_beta 90.00
_cell_angle_gamma 90.00
_space_group_name_H-M_alt 'I -4 2 d'
_space_group_IT_number 122
_space_group_name_Hall 'I -4 2bw'
loop_
_atom_site_label
_atom_site_type_symbol
_atom_site_fract_x
_atom_site_fract_y
_atom_site_fract_z
Li1 Li 0.2449 0.2500 0.1250
Ga1 Ga 0.0000 0.0000 0.5000
Ge1 Ge 0.0000 0.0000 0.0000
```

=====

- The lowest total DFT energy (no corrections) belongs to which entry?
  Ti5SnRh6